{
  "formula": "LaGa2SiOs2",
  "functional": "PBE",
  "state": "relaxed",
  "raw_formation_energy_ev_per_atom": -0.1939,
  "spacegroup": "No. 123",
  "lattice": [[4.481, 0.000, 0.000], [0.000, 4.481, 0.000], [0.000, 0.000, 5.763]],
  "species": ["Ga", "Ga", "Si", "Os", "Os", "La"],
  "frac_coords": [[0.500, 0.500, 0.731], [0.500, 0.500, 0.269], [0.000, 0.000, 0.000], [0.500, 0.000, 0.000], [0.000, 0.500, 0.000], [0.000, 0.000, 0.500]]
}

=====

{
  "formula": "LaTbGaOs",
  "functional": "PBE",
  "state": "relaxed",
  "spacegroup": "No. 216",
  "e_tot_ev_per_fu": -24.78,
  "lattice": [[5.067, 0.000, 0.000], [2.534, 4.389, 0.000], [2.534, 1.463, 4.138]],
  "species": ["Tb", "Os", "Ga", "La"],
  "frac_coords": [[0.000, 0.000, 0.000], [0.750, 0.750, 0.750], [0.250, 0.250, 0.250], [0.500, 0.500, 0.500]]
}

=====

{
  "formula": "LaThGaOs",
  "functional": "PBE",
  "state": "relaxed",
  "spacegroup": "No. 38",
  "e_tot_ev_per_fu": -28.28,
  "lattice": [[4.256, 0.000, 0.000], [0.000, 3.934, 0.000], [-2.128, 0.000, 6.082]],
  "species": ["Os", "Ga", "La", "Th"],
  "frac_coords": [[0.415, 0.000, 0.829], [0.561, 0.500, 0.122], [0.150, 0.000, 0.300], [0.874, 0.500, 0.749]]
}

=====

| no. | size of the total moment (μB/f.u.) | theoretical density (g/cm3) |
| --- | --- | --- |
| 1 | 0.0 | 9.85 |
| 2 | 0.0 | 10.07 |
| 3 | 0.0 | 10.29 |